(1)
A relaxed RbC3 crystal. Source: the Alexandria database, functional PBE-GGA.

Output
Total moment = 0.00 μB/cell
Formation energy = 417.4 kJ per mole of atoms

abc: 4.947 4.947 4.947
angles: 90.00 90.00 90.00
Element x y z (fractional)
Rb 0.000 0.000 0.000
Rb 0.500 0.500 0.500
C 0.000 0.250 0.500
C 0.000 0.750 0.500
C 0.250 0.500 0.000
C 0.500 0.000 0.250
C 0.500 0.000 0.750
C 0.750 0.500 0.000

(2)
A relaxed RbC crystal. Source: the Alexandria database, functional PBE-GGA.

Output
Total moment = 0.66 μB/cell
Formation energy = 79.8 kJ per mole of atoms

abc: 11.479 11.479 2.796
angles: 90.00 90.00 120.00
Element x y z (fractional)
Rb 0.212 0.425 0.250
Rb 0.212 0.788 0.250
Rb 0.425 0.212 0.750
Rb 0.575 0.788 0.250
Rb 0.788 0.212 0.750
Rb 0.788 0.575 0.750
C 0.014 0.507 0.750
C 0.493 0.507 0.750
C 0.493 0.986 0.750
C 0.507 0.014 0.250
C 0.507 0.493 0.250
C 0.986 0.493 0.250

(3)
A relaxed RbC crystal. Source: the Alexandria database, functional PBE-GGA.

Output
Total moment = 0.00 μB/cell
Formation energy = 75.4 kJ per mole of atoms

abc: 8.538 8.538 8.538
angles: 91.54 91.54 161.15
Element x y z (fractional)
Rb 0.000 0.250 0.250
Rb 0.000 0.750 0.750
Rb 0.250 0.000 0.250
Rb 0.750 0.000 0.750
C 0.258 0.258 0.515
C 0.258 0.742 0.000
C 0.742 0.258 0.000
C 0.742 0.742 0.485

(4)
A relaxed RbC3 crystal. Source: the Alexandria database, functional PBE-GGA.

Output
Total moment = 0.17 μB/cell
Formation energy = 226.8 kJ per mole of atoms

abc: 3.153 3.153 5.894
angles: 90.00 90.00 90.00
Element x y z (fractional)
Rb 0.000 0.000 0.000
C 0.000 0.000 0.500
C 0.500 0.500 0.389
C 0.500 0.500 0.611

(5)
A relaxed Rb5C4 crystal. Source: the Alexandria database, functional PBE-GGA.

Output
Total moment = 0.98 μB/cell
Formation energy = 59.7 kJ per mole of atoms

abc: 8.566 8.566 8.566
angles: 116.54 116.54 96.11
Element x y z (fractional)
Rb 0.000 0.000 0.000
Rb 0.292 0.292 0.585
Rb 0.292 0.708 0.000
Rb 0.708 0.292 0.000
Rb 0.708 0.708 0.415
C 0.000 0.429 0.429
C 0.000 0.571 0.571
C 0.429 0.000 0.429
C 0.571 0.000 0.571

(6)
A relaxed Rb2C crystal. Source: the Alexandria database, functional PBE-GGA.

Output
Total moment = 4.00 μB/cell
Formation energy = 148.2 kJ per mole of atoms

abc: 5.276 5.276 8.826
angles: 90.00 90.00 120.00
Element x y z (fractional)
Rb 0.000 0.000 0.000
Rb 0.000 0.000 0.500
Rb 0.333 0.667 0.250
Rb 0.667 0.333 0.750
C 0.333 0.667 0.750
C 0.667 0.333 0.250

(7)
A relaxed Rb8C crystal. Source: the Alexandria database, functional PBE-GGA.

Output
Total moment = 2.05 μB/cell
Formation energy = 55.9 kJ per mole of atoms

abc: 12.773 12.773 12.773
angles: 91.83 91.83 159.42
Element x y z (fractional)
Rb 0.000 0.333 0.333
Rb 0.000 0.667 0.667
Rb 0.333 0.000 0.333
Rb 0.393 0.393 0.787
Rb 0.393 0.607 0.000
Rb 0.607 0.393 0.000
Rb 0.607 0.607 0.213
Rb 0.667 0.000 0.667
C 0.000 0.000 0.000

(8)
A relaxed Rb2C3 crystal. Source: the Alexandria database, functional PBE-GGA.

Output
Total moment = 0.34 μB/cell
Formation energy = 190.7 kJ per mole of atoms

abc: 10.367 10.367 10.367
angles: 15.92 15.92 15.92
Element x y z (fractional)
Rb 0.090 0.090 0.090
Rb 0.910 0.910 0.910
C 0.333 0.333 0.333
C 0.500 0.500 0.500
C 0.667 0.667 0.667

(9)
A relaxed RbC3 crystal. Source: the Alexandria database, functional PBE-GGA.

Output
Total moment = 0.00 μB/cell
Formation energy = 397.8 kJ per mole of atoms

abc: 4.288 4.288 4.288
angles: 60.00 60.00 60.00
Element x y z (fractional)
Rb 0.000 0.000 0.000
C 0.250 0.250 0.250
C 0.500 0.500 0.500
C 0.750 0.750 0.750

(10)
A relaxed Rb2C crystal. Source: the Alexandria database, functional PBE-GGA.

Output
Total moment = 2.19 μB/cell
Formation energy = 144.5 kJ per mole of atoms

abc: 8.514 8.514 8.514
angles: 30.68 30.68 30.68
Element x y z (fractional)
Rb 0.000 0.000 0.000
Rb 0.146 0.146 0.146
C 0.740 0.740 0.740

(11)
A relaxed Rb3C4 crystal. Source: the Alexandria database, functional PBE-GGA.

Output
Total moment = 11.00 μB/cell
Formation energy = 293.0 kJ per mole of atoms

abc: 6.428 6.428 6.428
angles: 90.00 90.00 90.00
Element x y z (fractional)
Rb 0.000 0.000 0.500
Rb 0.000 0.500 0.000
Rb 0.500 0.000 0.000
C 0.000 0.000 0.000
C 0.000 0.500 0.500
C 0.500 0.000 0.500
C 0.500 0.500 0.000

(12)
A relaxed Rb2C3 crystal. Source: the Alexandria database, functional PBE-GGA.

Output
Total moment = 4.00 μB/cell
Formation energy = 66.1 kJ per mole of atoms

abc: 10.433 6.252 11.702
angles: 62.67 32.16 85.17
Element x y z (fractional)
Rb 0.211 0.789 0.419
Rb 0.669 0.831 0.461
Rb 0.789 0.211 0.581
Rb 0.831 0.669 0.039
C 0.131 0.389 0.787
C 0.257 0.257 0.743
C 0.389 0.131 0.693
C 0.463 0.557 0.119
C 0.507 0.507 0.993
C 0.557 0.463 0.861

(13)
A relaxed RbC crystal. Source: the Alexandria database, functional PBE-GGA.

Output
Total moment = 0.00 μB/cell
Formation energy = 49.7 kJ per mole of atoms

abc: 5.775 5.775 7.709
angles: 90.00 90.00 120.00
Element x y z (fractional)
Rb 0.000 0.000 0.250
Rb 0.000 0.000 0.750
Rb 0.333 0.667 0.250
Rb 0.667 0.333 0.750
C 0.333 0.667 0.668
C 0.333 0.667 0.832
C 0.667 0.333 0.168
C 0.667 0.333 0.332

(14)
A relaxed RbC5 crystal. Source: the Alexandria database, functional PBE-GGA.

Output
Total moment = 1.56 μB/cell
Formation energy = 131.1 kJ per mole of atoms

abc: 4.845 8.685 8.685
angles: 17.41 90.00 90.00
Element x y z (fractional)
Rb 0.000 0.000 0.000
C 0.000 0.181 0.181
C 0.000 0.682 0.682
C 0.500 0.354 0.354
C 0.500 0.435 0.435
C 0.500 0.818 0.818

(15)
A relaxed RbC crystal. Source: the Alexandria database, functional PBE-GGA.

Output
Total moment = 0.00 μB/cell
Formation energy = 250.5 kJ per mole of atoms

abc: 4.991 4.991 4.991
angles: 60.00 60.00 60.00
Element x y z (fractional)
Rb 0.125 0.125 0.125
Rb 0.875 0.875 0.875
C 0.375 0.375 0.375
C 0.625 0.625 0.625

(16)
A relaxed Rb4C23 crystal. Source: the Alexandria database, functional PBE-GGA.

Output
Total moment = 4.85 μB/cell
Formation energy = 140.4 kJ per mole of atoms

abc: 7.510 7.510 7.510
angles: 90.00 90.00 90.00
Element x y z (fractional)
Rb 0.000 0.000 0.000
Rb 0.000 0.250 0.500
Rb 0.000 0.750 0.500
Rb 0.250 0.500 0.000
Rb 0.500 0.000 0.250
Rb 0.500 0.000 0.750
Rb 0.500 0.500 0.500
Rb 0.750 0.500 0.000
C 0.000 0.300 0.157
C 0.000 0.300 0.843
C 0.000 0.500 0.250
C 0.000 0.500 0.750
C 0.000 0.700 0.157
C 0.000 0.700 0.843
C 0.157 0.000 0.300
C 0.157 0.000 0.700
C 0.190 0.190 0.190
C 0.190 0.190 0.810
C 0.190 0.810 0.190
C 0.190 0.810 0.810
C 0.200 0.500 0.343
C 0.200 0.500 0.657
C 0.250 0.000 0.500
C 0.300 0.157 0.000
C 0.300 0.843 0.000
C 0.310 0.310 0.310
C 0.310 0.310 0.690
C 0.310 0.690 0.310
C 0.310 0.690 0.690
C 0.343 0.200 0.500
C 0.343 0.800 0.500
C 0.500 0.250 0.000
C 0.500 0.343 0.200
C 0.500 0.343 0.800
C 0.500 0.657 0.200
C 0.500 0.657 0.800
C 0.500 0.750 0.000
C 0.657 0.200 0.500
C 0.657 0.800 0.500
C 0.690 0.310 0.310
C 0.690 0.310 0.690
C 0.690 0.690 0.310
C 0.690 0.690 0.690
C 0.700 0.157 0.000
C 0.700 0.843 0.000
C 0.750 0.000 0.500
C 0.800 0.500 0.343
C 0.800 0.500 0.657
C 0.810 0.190 0.190
C 0.810 0.190 0.810
C 0.810 0.810 0.190
C 0.810 0.810 0.810
C 0.843 0.000 0.300
C 0.843 0.000 0.700

(17)
A relaxed RbC crystal. Source: the Alexandria database, functional PBE-GGA.

Output
Total moment = 6.00 μB/cell
Formation energy = 234.6 kJ per mole of atoms

abc: 9.330 9.330 9.330
angles: 152.77 152.77 38.89
Element x y z (fractional)
Rb 0.375 0.625 0.750
Rb 0.625 0.375 0.250
C 0.125 0.875 0.250
C 0.875 0.125 0.750

(18)
A relaxed Rb3C5 crystal. Source: the Alexandria database, functional PBE-GGA.

Output
Total moment = 5.21 μB/cell
Formation energy = 219.3 kJ per mole of atoms

abc: 10.271 10.271 3.707
angles: 90.00 90.00 144.90
Element x y z (fractional)
Rb 0.000 0.000 0.000
Rb 0.338 0.662 0.500
Rb 0.662 0.338 0.500
C 0.000 0.500 0.000
C 0.393 0.393 0.500
C 0.500 0.000 0.000
C 0.500 0.500 0.000
C 0.607 0.607 0.500

(19)
A relaxed Rb3C4 crystal. Source: the Alexandria database, functional PBE-GGA.

Output
Total moment = 6.23 μB/cell
Formation energy = 177.9 kJ per mole of atoms

abc: 11.339 11.339 11.339
angles: 156.80 156.80 33.04
Element x y z (fractional)
Rb 0.000 0.000 0.000
Rb 0.331 0.331 0.000
Rb 0.669 0.669 0.000
C 0.181 0.181 0.000
C 0.471 0.471 0.000
C 0.529 0.529 0.000
C 0.819 0.819 0.000

(20)
A relaxed RbC3 crystal. Source: the Alexandria database, functional PBE-GGA.

Output
Total moment = 0.87 μB/cell
Formation energy = 123.0 kJ per mole of atoms

abc: 4.350 4.350 4.317
angles: 90.00 90.00 112.52
Element x y z (fractional)
Rb 0.000 0.000 0.000
C 0.318 0.682 0.500
C 0.500 0.500 0.500
C 0.682 0.318 0.500

(21)
A relaxed Rb2C crystal. Source: the Alexandria database, functional PBE-GGA.

Output
Total moment = 4.29 μB/cell
Formation energy = 143.3 kJ per mole of atoms

abc: 8.417 8.417 8.397
angles: 111.02 111.02 29.34
Element x y z (fractional)
Rb 0.010 0.010 0.211
Rb 0.262 0.262 0.211
Rb 0.738 0.738 0.789
Rb 0.990 0.990 0.789
C 0.376 0.376 0.973
C 0.624 0.624 0.027

(22)
A relaxed RbC3 crystal. Source: the Alexandria database, functional PBE-GGA.

Output
Total moment = 5.20 μB/cell
Formation energy = 329.3 kJ per mole of atoms

abc: 6.164 6.164 6.164
angles: 125.64 125.64 80.48
Element x y z (fractional)
Rb 0.155 0.155 0.000
Rb 0.845 0.845 0.000
C 0.000 0.500 0.500
C 0.250 0.750 0.500
C 0.432 0.432 0.000
C 0.500 0.000 0.500
C 0.568 0.568 0.000
C 0.750 0.250 0.500

(23)
A relaxed RbC crystal. Source: the Alexandria database, functional PBE-GGA.

Output
Total moment = 0.00 μB/cell
Formation energy = 38.1 kJ per mole of atoms

abc: 6.663 6.663 6.663
angles: 140.47 140.47 57.14
Element x y z (fractional)
Rb 0.000 0.000 0.000
Rb 0.750 0.250 0.500
C 0.446 0.446 0.000
C 0.554 0.554 0.000

(24)
A relaxed RbC crystal. Source: the Alexandria database, functional PBE-GGA.

Output
Total moment = 3.00 μB/cell
Formation energy = 234.7 kJ per mole of atoms

abc: 4.388 4.388 7.105
angles: 90.00 90.00 90.00
Element x y z (fractional)
Rb 0.000 0.000 0.000
C 0.500 0.500 0.000